1.
# TbYAg2As4

A relaxed TbYAg2As4 crystal (PBE, OQMD via LeMat-Bulk).

Summary:
Total DFT energy (no corrections): -5.18 eV/atom

Cell: 3.9997 3.9997 10.3238 Å, 90.00 90.00 90.00°
Atoms (fractional coordinates):
Ag  0.5000  0.0000  0.0000
Ag  0.0000  0.5000  0.0000
As  0.5000  0.5000  0.1884
As  0.5000  0.0000  0.4999
As  0.0000  0.5000  0.4999
As  0.0000  0.0000  0.8116
Tb  0.5000  0.5000  0.7258
Y  0.0000  0.0000  0.2744

=====

2.
# P2W4CN

A relaxed P2W4CN crystal (PBE, OQMD via LeMat-Bulk).

Summary:
Total DFT energy (no corrections): -9.94 eV/atom

Cell: 3.0484 3.0484 12.3734 Å, 90.00 90.00 120.00°
Atoms (fractional coordinates):
C  0.0000  0.0000  0.0000
N  0.0000  0.0000  0.5000
P  0.6667  0.3333  0.2497
P  0.3333  0.6667  0.7502
W  0.3333  0.6667  0.1039
W  0.3333  0.6667  0.3879
W  0.6667  0.3333  0.6121
W  0.6667  0.3333  0.8961

=====

3.
# CsRb2Na2ReO6

A relaxed CsRb2Na2ReO6 crystal (PBE, OQMD via LeMat-Bulk).

Summary:
Total DFT energy (no corrections): -5.55 eV/atom

Cell: 6.6214 6.6214 5.8572 Å, 97.00 97.00 119.81°
Atoms (fractional coordinates):
Cs  0.5000  0.5000  0.0000
Na  0.8772  0.1228  0.0000
Na  0.1228  0.8772  0.0000
O  0.1899  0.1899  0.3000
O  0.9603  0.7223  0.3042
O  0.7223  0.9603  0.3042
O  0.2777  0.0397  0.6958
O  0.0397  0.2777  0.6958
O  0.8101  0.8101  0.7000
Rb  0.6738  0.3262  0.5000
Rb  0.3262  0.6738  0.5000
Re  0.0000  0.0000  0.5000